Record 1
Below is a relaxed structure of Li6Cd2Ir, with properties calculated at the PBE level. Values from VASP.

Cell and atoms, written as Quantum ESPRESSO input:
```
&SYSTEM
  ibrav = 0, nat = 9, ntyp = 3
/
ATOMIC_SPECIES
Li 6.94 Li.upf
Cd 112.41 Cd.upf
Ir 192.22 Ir.upf
CELL_PARAMETERS angstrom
-2.4798 -0.1711 1.0941
0.3125 -5.0107 6.5782
0.3203 2.7276 7.8061
ATOMIC_POSITIONS angstrom
Li -0.3547 0.8281 2.6666
Li -1.4870 -3.2820 12.8096
Li -0.9270 0.1989 7.9678
Li -0.3572 -1.6121 2.2794
Li -0.9299 -2.6538 7.5151
Li -1.4846 -0.8417 13.1969
Cd -1.2324 -1.6358 10.3170
Cd -0.6148 -0.8184 5.1615
Ir 0.6327 -2.2831 14.3843
```

Calculated values
M_tot: 0.0 μB/f.u.
energy: -0.096 hartree per atom
calculated formation energy: -0.150 eV per atom

=====

Record 2
Below is a relaxed structure of LiCdTeRh2, with properties calculated at the PBE level. Values from VASP.

Cell and atoms, written as Quantum ESPRESSO input:
```
&SYSTEM
  ibrav = 0, nat = 5, ntyp = 4
/
ATOMIC_SPECIES
Li 6.94 Li.upf
Rh 102.91 Rh.upf
Te 127.60 Te.upf
Cd 112.41 Cd.upf
CELL_PARAMETERS angstrom
4.4283 0.0000 0.0000
0.0000 4.4283 0.0000
0.0000 0.0000 4.4895
ATOMIC_POSITIONS angstrom
Li 0.0000 0.0000 0.0000
Rh 0.0000 2.2141 0.0000
Rh 2.2141 0.0000 0.0000
Te 0.0000 0.0000 2.2447
Cd 2.2141 2.2141 2.2447
```

Calculated values
M_tot: 0.0 μB/f.u.
energy: -0.136 hartree per atom
ΔE_f (raw): 2.1 eV per formula unit

=====

Record 3
Below is a relaxed structure of Sr2Pm4Sn3O2, with properties calculated at the PBE level. Values from VASP.

Cell and atoms, written as Quantum ESPRESSO input:
```
&SYSTEM
  ibrav = 0, nat = 11, ntyp = 4
/
ATOMIC_SPECIES
Sn 118.71 Sn.upf
Pm 145.00 Pm.upf
Sr 87.62 Sr.upf
O 16.00 O.upf
CELL_PARAMETERS angstrom
-4.5543 -1.5186 0.9671
0.0642 -2.7658 -4.0409
7.0264 -7.8105 8.4251
ATOMIC_POSITIONS angstrom
Sn 1.6148 -3.3615 2.3264
Sn 0.0000 0.0000 0.0000
Sn 0.9214 -8.7335 3.0249
Pm 1.7010 -9.0401 6.2146
Pm -1.4739 -2.4312 1.6407
Pm 0.8353 -3.0549 -0.8633
Pm 4.0102 -9.6637 3.7106
Sr -0.3622 -6.0615 1.1756
Sr 2.8985 -6.0334 4.1757
O -1.3447 -4.0164 -0.2398
O 3.8809 -8.0785 5.5911
```

Calculated values
M_tot: 0.0 μB/f.u.
energy: -0.203 hartree per atom
ΔE_f (raw): -16.4 eV per formula unit

=====

Record 4
Below is a relaxed structure of Fe2CoIr4Os, with properties calculated at the PBE level. Values from VASP.

Cell and atoms, written as Quantum ESPRESSO input:
```
&SYSTEM
  ibrav = 0, nat = 8, ntyp = 4
/
ATOMIC_SPECIES
Fe 55.84 Fe.upf
Ir 192.22 Ir.upf
Os 190.23 Os.upf
Co 58.93 Co.upf
CELL_PARAMETERS angstrom
-2.9836 -2.7950 -2.2395
1.9912 -5.1862 -1.0316
-1.5725 -4.5628 2.9383
ATOMIC_POSITIONS angstrom
Fe -0.3766 -6.4304 -1.1754
Fe -2.1882 -6.1135 0.8426
Ir 0.7593 -7.3405 0.8999
Ir -1.6657 -8.5933 0.7884
Ir -2.4077 -5.3638 -2.2535
Ir -1.8156 -3.7904 -0.1004
Os 0.0000 0.0000 0.0000
Co 0.2093 -4.8745 0.9533
```

Calculated values
M_tot: 4.0 μB/f.u.
energy: -0.318 hartree per atom
calculated formation energy: 0.197 eV per atom

=====

Let's list DOS at the Fermi energy in order: 0.4881; 0.9639; 0.2279; 1.3669 states/eV per atom.